Compound: SrNiN2F
Source: Alexandria
Functional: GGA+U
Structure: relaxed

## Properties
distance to the lowest polymorph of the same formula: 0.0 meV per atom
space-group type: P4/mmm, No. 123
theoretical density: 4.8 g/cm³

a = 3.658 Å, b = 3.658 Å, c = 5.034 Å
α = 90.00°, β = 90.00°, γ = 90.00°
Last column: magnetic moment on the atom in μB.
Sites, in units of the cell vectors:
1 N 0.500 0.000 0.000  0.29
2 Sr 0.500 0.500 0.500  0.01
3 F 0.000 0.000 0.500  0.00
4 Ni 0.000 0.000 0.000  0.78
5 N 0.000 0.500 0.000  0.29